Record 1
A relaxed structure of BaAlBr2. Source: Alexandria via LeMat-Bulk, functional GGA-PBEsol.

Output
Its crystal system is monoclinic.

Lattice parameters (Å, degrees): 4.299 5.333 6.306 99.10 90.00 113.77
Element x y z (fractional)
Br1 0.776 0.551 0.754
Br2 0.224 0.449 0.246
Ba1 0.500 0.000 0.000
Al1 0.000 0.000 0.500


Record 2
A relaxed structure of BaAlBr. Source: Alexandria via LeMat-Bulk, functional GGA-PBEsol.

Output
Its crystal system is trigonal.

Lattice parameters (Å, degrees): 4.041 4.041 7.243 90.00 90.00 120.00
Last column: magnetic moment on the atom in μB.
Element x y z (fractional)
Ba1 0.333 0.667 0.653  0.11
Al1 0.000 0.000 0.004  0.02
Br1 0.667 0.333 0.343  0.01


Looking at ρ for the records above, in order, we have 4.129, 3.960 g cm⁻³.
Looking at raw formation energy for the records above, in order, we have -0.961, -0.374 eV/atom.
Looking at relative energy among the computed polymorphs for the records above, in order, we have 27, 138 meV/atom.